Material: TlCu2W
Method: DFT, GGA-PBE
State: optimized geometry

a b c (Å): 9.1806 9.1806 9.1806
angles (deg): 18.26 18.26 18.26
With the nearest neighbours (Å) after each atom.
Fractional coordinates of all 4 atoms:
Cu (0.2594, 0.2594, 0.2594)  3 Cu 2.55
W (0.7407, 0.7407, 0.7407)  3 Cu 2.68, 6 W 2.91
Cu (0.9968, 0.9968, 0.9968)  3 Cu 2.55, 3 W 2.68
Tl (0.5032, 0.5032, 0.5032)  6 Tl 2.91, 3 Cu 2.95, 3 W 3.09

Results
- total energy (eV per atom) = -5.227
- DFT formation energy (eV/f.u.) = 2.60
- V (Å³/cell) = 66.4

---

Material: TlCu2W
Method: DFT, GGA-PBE
State: optimized geometry

a b c (Å): 4.9814 4.9814 4.9814
angles (deg): 133.50 133.50 67.87
With the nearest neighbours (Å) after each atom.
Fractional coordinates of all 4 atoms:
W (0.7500, 0.2500, 0.5000)  8 Cu 2.78-2.85, 4 Tl 2.85
Cu (0.0000, 0.0000, 0.0000)  4 Tl 2.78, 4 W 2.85, 4 Cu 2.85
Cu (0.2500, 0.7500, 0.5000)  4 W 2.78, 4 Tl 2.85, 4 Cu 2.85
Tl (0.5000, 0.5000, 0.0000)  8 Cu 2.78-2.85, 4 W 2.85

Results
- total energy (eV per atom) = -5.045
- DFT formation energy (eV/f.u.) = 3.33
- V (Å³/cell) = 63.9

---

Material: Tl4CuW
Method: DFT, GGA-PBE
State: optimized geometry

a b c (Å): 6.1779 6.1779 6.1779
angles (deg): 60.00 60.00 60.00
With the nearest neighbours (Å) after each atom.
Fractional coordinates of all 6 atoms:
Tl (0.3750, 0.3750, 0.8749)  6 Tl 3.09
Tl (0.3750, 0.3750, 0.3750)  6 Tl 3.09
Cu (0.0000, 0.0000, 0.0000)  12 Tl 3.62, 4 W 3.78
W (0.7500, 0.7500, 0.7500)  12 Tl 3.62, 4 Cu 3.78
Tl (0.3750, 0.8749, 0.3750)  6 Tl 3.09
Tl (0.8749, 0.3750, 0.3750)  6 Tl 3.09

Results
- total energy (eV per atom) = -3.091
- DFT formation energy (eV/f.u.) = 7.97
- V (Å³/cell) = 166.7

---

Material: YTl2Cu
Method: DFT, GGA-PBE
State: optimized geometry

a b c (Å): 3.5728 3.5728 7.7492
angles (deg): 90.00 90.00 90.00
With the nearest neighbours (Å) after each atom.
Fractional coordinates of all 4 atoms:
Tl (0.0000, 0.0000, 0.9618)  4 Cu 3.04, 1 Y 3.26, 4 Tl 3.39
Y (0.0000, 0.0000, 0.5414)  4 Cu 2.97, 1 Tl 3.26
Cu (0.5000, 0.5000, 0.7426)  4 Y 2.97, 4 Tl 3.04
Tl (0.5000, 0.5000, 0.2542)  4 Y 3.37, 8 Tl 3.39-3.57

Results
- total energy (eV per atom) = -3.864
- DFT formation energy (eV/f.u.) = -0.16
- V (Å³/cell) = 98.9